# Rb2UBr6

An optimized crystal structure of Rb2UBr6 (PBE-GGA, Alexandria).

```
data_Rb2UBr6
_symmetry_space_group_name_H-M 'P 1 21/c 1'
_symmetry_Int_Tables_number 14
_cell_length_a 7.899
_cell_length_b 8.719
_cell_length_c 13.276
_cell_angle_alpha 90.00
_cell_angle_beta 124.33
_cell_angle_gamma 90.00
loop_
_symmetry_equiv_pos_as_xyz
'x,y,z'
'-x,-y,-z'
'-x,y+1/2,-z+1/2'
'x,-y+1/2,z+1/2'
loop_
_atom_site_label
_atom_site_type_symbol
_atom_site_fract_x
_atom_site_fract_y
_atom_site_fract_z
Rb1 Rb 0.225 0.084 0.253
U1 U 0.500 0.000 0.000
Br1 Br 0.164 0.169 0.957
Br2 Br 0.285 0.725 0.955
Br3 Br 0.345 0.023 0.754
```

Summary:
Relative energy among the computed polymorphs in meV per atom: 0.0
Electronic total energy in eV per atom: -4.15
N(E_F) in states/eV per atom: 0.662
Magnetic moment in μB/atom: 0.222

***

# Rb3UBr6

An optimized crystal structure of Rb3UBr6 (PBE-GGA, Alexandria).

```
data_Rb3UBr6
_symmetry_space_group_name_H-M 'C 1 2/m 1'
_symmetry_Int_Tables_number 12
_cell_length_a 14.459
_cell_length_b 8.570
_cell_length_c 8.531
_cell_angle_alpha 90.00
_cell_angle_beta 123.51
_cell_angle_gamma 90.00
loop_
_symmetry_equiv_pos_as_xyz
'x,y,z'
'-x,-y,-z'
'-x,y,-z'
'x,-y,z'
'x+1/2,y+1/2,z'
'-x+1/2,-y+1/2,-z'
'-x+1/2,y+1/2,-z'
'x+1/2,-y+1/2,z'
loop_
_atom_site_label
_atom_site_type_symbol
_atom_site_fract_x
_atom_site_fract_y
_atom_site_fract_z
Rb1 Rb 0.000 0.000 0.000
Rb2 Rb 0.247 0.000 0.717
U1 U 0.000 0.500 0.500
Br1 Br 0.074 0.262 0.348
Br2 Br 0.221 0.500 0.848
```

Summary:
Relative energy among the computed polymorphs in meV per atom: 11.7
Electronic total energy in eV per atom: -4.00
Magnetic moment in μB/atom: 0.300

***

# Rb2UBr6

An optimized crystal structure of Rb2UBr6 (PBE-GGA, Alexandria).

```
data_Rb2UBr6
_symmetry_space_group_name_H-M 'C 1 2/m 1'
_symmetry_Int_Tables_number 12
_cell_length_a 13.878
_cell_length_b 7.894
_cell_length_c 8.119
_cell_angle_alpha 90.00
_cell_angle_beta 125.18
_cell_angle_gamma 90.00
loop_
_symmetry_equiv_pos_as_xyz
'x,y,z'
'-x,-y,-z'
'-x,y,-z'
'x,-y,z'
'x+1/2,y+1/2,z'
'-x+1/2,-y+1/2,-z'
'-x+1/2,y+1/2,-z'
'x+1/2,-y+1/2,z'
loop_
_atom_site_label
_atom_site_type_symbol
_atom_site_fract_x
_atom_site_fract_y
_atom_site_fract_z
Rb1 Rb 0.246 0.000 0.255
U1 U 0.000 0.000 0.500
Br1 Br 0.042 0.248 0.304
Br2 Br 0.240 0.000 0.816
```

Summary:
Relative energy among the computed polymorphs in meV per atom: 7.9
Electronic total energy in eV per atom: -4.15
N(E_F) in states/eV per atom: 0.686
Magnetic moment in μB/atom: 0.222

***

# Rb2UBr7

An optimized crystal structure of Rb2UBr7 (PBE-GGA, Alexandria).

```
data_Rb2UBr7
_symmetry_space_group_name_H-M 'C 1 2/c 1'
_symmetry_Int_Tables_number 15
_cell_length_a 18.782
_cell_length_b 8.670
_cell_length_c 13.357
_cell_angle_alpha 90.00
_cell_angle_beta 132.41
_cell_angle_gamma 90.00
loop_
_symmetry_equiv_pos_as_xyz
'x,y,z'
'-x,-y,-z'
'-x,y,-z+1/2'
'x,-y,z+1/2'
'x+1/2,y+1/2,z'
'-x+1/2,-y+1/2,-z'
'-x+1/2,y+1/2,-z+1/2'
'x+1/2,-y+1/2,z+1/2'
loop_
_atom_site_label
_atom_site_type_symbol
_atom_site_fract_x
_atom_site_fract_y
_atom_site_fract_z
Rb1 Rb 0.180 0.042 0.071
U1 U 0.000 0.420 0.250
Br1 Br 0.000 0.098 0.250
Br2 Br 0.092 0.346 0.158
Br3 Br 0.107 0.304 0.796
Br4 Br 0.166 0.382 0.515
```

Summary:
Electronic total energy in eV per atom: -3.89
N(E_F) in states/eV per atom: 0.151
Magnetic moment in μB/atom: 0.100

***

# RbU2Br8

An optimized crystal structure of RbU2Br8 (PBE-GGA, Alexandria).

```
data_RbU2Br8
_symmetry_space_group_name_H-M 'C 1 2/m 1'
_symmetry_Int_Tables_number 12
_cell_length_a 13.069
_cell_length_b 8.611
_cell_length_c 9.190
_cell_angle_alpha 90.00
_cell_angle_beta 111.21
_cell_angle_gamma 90.00
loop_
_symmetry_equiv_pos_as_xyz
'x,y,z'
'-x,-y,-z'
'-x,y,-z'
'x,-y,z'
'x+1/2,y+1/2,z'
'-x+1/2,-y+1/2,-z'
'-x+1/2,y+1/2,-z'
'x+1/2,-y+1/2,z'
loop_
_atom_site_label
_atom_site_type_symbol
_atom_site_fract_x
_atom_site_fract_y
_atom_site_fract_z
Rb1 Rb 0.000 0.000 0.000
U1 U 0.248 0.500 0.488
Br1 Br 0.093 0.246 0.369
Br2 Br 0.198 0.000 0.773
Br3 Br 0.210 0.500 0.763
```

Summary:
Relative energy among the computed polymorphs in meV per atom: 0.0
Electronic total energy in eV per atom: -4.73
N(E_F) in states/eV per atom: 1.421
Magnetic moment in μB/atom: 0.455

***

# Rb3UBr6

An optimized crystal structure of Rb3UBr6 (PBE-GGA, Alexandria).

```
data_Rb3UBr6
_symmetry_space_group_name_H-M 'P 1 21/c 1'
_symmetry_Int_Tables_number 14
_cell_length_a 8.224
_cell_length_b 8.784
_cell_length_c 14.283
_cell_angle_alpha 90.00
_cell_angle_beta 124.12
_cell_angle_gamma 90.00
loop_
_symmetry_equiv_pos_as_xyz
'x,y,z'
'-x,-y,-z'
'-x,y+1/2,-z+1/2'
'x,-y+1/2,z+1/2'
loop_
_atom_site_label
_atom_site_type_symbol
_atom_site_fract_x
_atom_site_fract_y
_atom_site_fract_z
Rb1 Rb 0.000 0.000 0.000
Rb2 Rb 0.215 0.075 0.744
U1 U 0.500 0.000 0.500
Br1 Br 0.157 0.178 0.443
Br2 Br 0.257 0.724 0.424
Br3 Br 0.402 0.056 0.272
```

Summary:
Relative energy among the computed polymorphs in meV per atom: 0.0
Electronic total energy in eV per atom: -4.01
Magnetic moment in μB/atom: 0.300

***

# Rb3UBr7

An optimized crystal structure of Rb3UBr7 (PBE-GGA, Alexandria).

```
data_Rb3UBr7
_symmetry_space_group_name_H-M 'C 1 m 1'
_symmetry_Int_Tables_number 8
_cell_length_a 11.813
_cell_length_b 10.955
_cell_length_c 8.869
_cell_angle_alpha 90.00
_cell_angle_beta 126.96
_cell_angle_gamma 90.00
loop_
_symmetry_equiv_pos_as_xyz
'x,y,z'
'x,-y,z'
'x+1/2,y+1/2,z'
'x+1/2,-y+1/2,z'
loop_
_atom_site_label
_atom_site_type_symbol
_atom_site_fract_x
_atom_site_fract_y
_atom_site_fract_z
Rb1 Rb 0.000 0.000 0.000
Rb2 Rb 0.004 0.273 0.577
U1 U 0.053 0.500 0.130
Br1 Br 0.120 0.255 0.293
Br2 Br 0.200 0.500 0.971
Br3 Br 0.349 0.500 0.505
Br4 Br 0.360 0.162 0.826
Br5 Br 0.371 0.000 0.238
```

Summary:
Electronic total energy in eV per atom: -3.90
N(E_F) in states/eV per atom: 0.529
Magnetic moment in μB/atom: 0.182

***

# Rb2UBr4

An optimized crystal structure of Rb2UBr4 (PBE-GGA, Alexandria).

```
data_Rb2UBr4
_symmetry_space_group_name_H-M 'I 4/m m m'
_symmetry_Int_Tables_number 139
_symmetry_space_group_name_Hall '-I 4 2'
_cell_length_a 5.775
_cell_length_b 5.775
_cell_length_c 17.589
_cell_angle_alpha 90.00
_cell_angle_beta 90.00
_cell_angle_gamma 90.00
loop_
_atom_site_label
_atom_site_type_symbol
_atom_site_fract_x
_atom_site_fract_y
_atom_site_fract_z
Rb1 Rb 0.000 0.000 0.137
U1 U 0.000 0.000 0.500
Br1 Br 0.000 0.000 0.332
Br2 Br 0.000 0.500 0.000
```

Summary:
Electronic total energy in eV per atom: -4.11
N(E_F) in states/eV per atom: 1.102
Magnetic moment in μB/atom: 0.565

***

# Rb6UBr12

An optimized crystal structure of Rb6UBr12 (PBE-GGA, Alexandria).

```
data_Rb6UBr12
_symmetry_space_group_name_H-M 'R -3'
_symmetry_Int_Tables_number 148
_symmetry_space_group_name_Hall '-R 3'
_cell_length_a 14.4523
_cell_length_b 14.4523
_cell_length_c 16.3141
_cell_angle_alpha 90.00
_cell_angle_beta 90.00
_cell_angle_gamma 120.00
loop_
_atom_site_label
_atom_site_type_symbol
_atom_site_fract_x
_atom_site_fract_y
_atom_site_fract_z
Rb1 Rb 0.0334 0.7820 0.1112
U1 U 0.0000 0.0000 0.5000
Br1 Br 0.0309 0.7868 0.9028
Br2 Br 0.0682 0.8945 0.4055
```

Summary:
Electronic total energy in eV per atom: -3.40
N(E_F) in states/eV per atom: 1.007
Magnetic moment in μB/atom: 0.092

***

Question: What is the formula in the ninth record?
Answer: Rb6UBr12

***

Question: The highest magnetic moment belongs to which entry?
Answer: Rb2UBr4